Computed, not measured: a relaxed structure of LiIn6Sn4 at the PBE level of DFT.

Unit cell a=6.326 b=6.326 c=8.812 alpha=111.93 beta=111.93 gamma=86.41
Fractional coordinates of all 11 atoms:
In: 0.345 0.345 0.330
In: 0.606 0.097 0.658
Sn: 0.802 0.423 0.263
Sn: 0.629 0.629 0.712
Sn: 0.162 0.162 0.752
Sn: 0.423 0.802 0.263
Li: 0.996 0.996 0.994
In: 0.963 0.963 0.352
In: 0.504 0.973 0.010
In: 0.973 0.504 0.010
In: 0.097 0.606 0.658

Density of states at the Fermi level = 4.04 states/eV per cell
Formation energy = -0.01 eV per atom